A plane-wave DFT calculation with GGA+U was carried out for crystalline HfTcSnWF at its relaxed geometry.

a b c (Å): 6.566 3.212 10.312
angles (deg): 90.00 110.31 90.00
Atoms (fractional coordinates):
F 0.765 0.000 0.662
F 0.765 0.500 0.162
Hf 0.458 0.000 0.682
Hf 0.458 0.500 0.182
Sn 0.064 0.000 0.996
Sn 0.064 0.500 0.496
W 0.614 0.000 0.982
W 0.614 0.500 0.482
Tc 0.327 0.000 0.362
Tc 0.327 0.500 0.862

Output
ΔE to the lowest computed polymorph: 402.4 meV/atom